A plane-wave DFT calculation with PBE with a Hubbard U was carried out for a geometry-optimized Ba2YTlV2O7 structure.

a b c (Å): 3.9527 3.9527 13.4432
angles (deg): 90.00 90.00 90.00
Last column: nearest neighbours and their distance in Å.
Sites, in units of the cell vectors:
Ba1 0.5000 0.5000 0.1894  5 O 2.55-2.82
Ba2 0.5000 0.5000 0.8106  5 O 2.55-2.82
Y1 0.5000 0.5000 0.5000  8 O 2.42
Tl1 0.0000 0.0000 0.0000  6 O 2.79-2.89
V1 0.0000 0.0000 0.3551  5 O 1.88-2.05
V2 0.0000 0.0000 0.6449  5 O 1.88-2.05
O1 0.0000 0.0000 0.2153  1 V 1.88
O2 0.0000 0.5000 0.3957  2 V 2.05
O3 0.5000 0.0000 0.3957  2 V 2.05
O4 0.5000 0.0000 0.6043  2 V 2.05
O5 0.5000 0.5000 0.0000  2 Ba 2.55, 4 Tl 2.79
O6 0.0000 0.5000 0.6043  2 V 2.05
O7 0.0000 0.0000 0.7847  1 V 1.88

Values from the calculation:
The total DFT energy (no corrections) comes out at -90.94 eV per formula unit. The space group is P4/mmm, No. 123. The magnetic moment is 4.0 μB/f.u. As for the density of states at the Fermi level: 8.288 states/eV per cell.